1.
TlIn2CuF6 (PBE, optimized geometry); volume = 158.4 Å³/cell; total DFT energy (no corrections) = -3.881 eV per atom
1.0
0.000 4.295 4.295
4.295 0.000 4.295
4.295 4.295 0.000
Tl In Cu F
1 2 1 6
Direct
0.000 0.000 0.000
0.250 0.250 0.250
0.750 0.750 0.750
0.500 0.500 0.500
0.264 0.264 0.736
0.264 0.736 0.264
0.264 0.736 0.736
0.736 0.264 0.264
0.736 0.264 0.736
0.736 0.736 0.264

2.
KCuF2 (PBE, optimized geometry); volume = 112.9 Å³/cell; total DFT energy (no corrections) = -3.970 eV per atom
1.0
-2.998 2.998 3.139
2.998 -2.998 3.139
2.998 2.998 -3.139
K Cu F
2 2 4
Direct
0.250 0.250 0.000
0.750 0.750 0.000
0.000 0.500 0.500
0.500 0.000 0.500
0.219 0.719 0.937
0.281 0.219 0.500
0.719 0.781 0.500
0.781 0.281 0.063

3.
K2CuPdF6 (PBE, optimized geometry); volume = 134.0 Å³/cell; total DFT energy (no corrections) = -4.183 eV per atom
1.0
2.868 1.656 4.704
-2.868 1.656 4.704
0.000 -3.311 4.704
K Cu Pd F
2 1 1 6
Direct
0.250 0.250 0.250
0.750 0.750 0.750
0.000 0.000 0.000
0.500 0.500 0.500
0.242 0.757 0.244
0.243 0.756 0.758
0.244 0.242 0.757
0.756 0.758 0.243
0.757 0.244 0.242
0.758 0.243 0.756

4.
K2CuPdF6 (PBE, optimized geometry); volume = 135.8 Å³/cell; total DFT energy (no corrections) = -4.192 eV per atom
1.0
2.886 1.666 4.706
-2.886 1.666 4.706
0.000 -3.332 4.706
K Cu Pd F
2 1 1 6
Direct
0.250 0.250 0.250
0.750 0.750 0.750
0.000 0.000 0.000
0.500 0.500 0.500
0.243 0.243 0.756
0.243 0.756 0.243
0.244 0.757 0.757
0.756 0.243 0.243
0.757 0.244 0.757
0.757 0.757 0.244

5.
K2CuPdF6 (PBE, optimized geometry); volume = 259.9 Å³/cell; total DFT energy (no corrections) = -4.154 eV per atom
1.0
5.541 0.000 0.000
0.000 5.848 0.000
-5.421 0.000 8.021
K Cu Pd F
4 2 2 12
Direct
0.241 0.028 0.249
0.241 0.472 0.749
0.759 0.528 0.251
0.759 0.972 0.751
0.000 0.000 0.500
0.000 0.500 0.000
0.500 0.000 0.000
0.500 0.500 0.500
0.190 0.227 0.979
0.190 0.273 0.479
0.258 0.709 0.981
0.258 0.791 0.481
0.278 0.501 0.243
0.278 0.999 0.743
0.722 0.001 0.257
0.722 0.499 0.757
0.742 0.209 0.519
0.742 0.291 0.019
0.810 0.727 0.521
0.810 0.773 0.021

6.
K2CuPdF6 (PBE, optimized geometry); volume = 136.7 Å³/cell; total DFT energy (no corrections) = -4.196 eV per atom
1.0
0.000 4.088 4.088
4.088 0.000 4.088
4.088 4.088 0.000
K Cu Pd F
2 1 1 6
Direct
0.250 0.250 0.250
0.750 0.750 0.750
0.000 0.000 0.000
0.500 0.500 0.500
0.243 0.243 0.757
0.243 0.757 0.243
0.243 0.757 0.757
0.757 0.243 0.243
0.757 0.243 0.757
0.757 0.757 0.243

7.
K2ScCuF6 (PBE, optimized geometry); volume = 142.4 Å³/cell; total DFT energy (no corrections) = -5.223 eV per atom
1.0
-2.884 2.884 4.279
2.884 -2.884 4.279
2.884 2.884 -4.279
K Sc Cu F
2 1 1 6
Direct
0.250 0.750 0.500
0.750 0.250 0.500
0.000 0.000 0.000
0.500 0.500 0.000
0.235 0.235 0.000
0.245 0.245 0.489
0.245 0.755 0.000
0.755 0.245 0.000
0.755 0.755 0.511
0.765 0.765 0.000

8.
K2ScCuF6 (PBE, optimized geometry); volume = 274.8 Å³/cell; total DFT energy (no corrections) = -5.211 eV per atom
1.0
5.851 0.000 0.000
0.011 5.859 0.000
0.075 0.004 8.016
K Sc Cu F
4 2 2 12
Direct
0.004 0.030 0.251
0.496 0.530 0.249
0.504 0.470 0.751
0.996 0.970 0.749
0.000 0.500 0.000
0.500 0.000 0.500
0.000 0.500 0.500
0.500 0.000 0.000
0.062 0.507 0.753
0.201 0.773 0.029
0.229 0.797 0.469
0.272 0.296 0.031
0.299 0.273 0.470
0.438 0.007 0.747
0.562 0.993 0.253
0.701 0.727 0.530
0.728 0.704 0.969
0.771 0.203 0.531
0.799 0.227 0.971
0.938 0.493 0.247

9.
K2CuTcF6 (PBE, optimized geometry); volume = 270.0 Å³/cell; total DFT energy (no corrections) = -4.778 eV per atom
1.0
5.841 0.000 0.000
0.000 5.659 0.000
-5.829 0.000 8.169
K Cu Tc F
4 2 2 12
Direct
0.248 0.040 0.252
0.248 0.460 0.752
0.752 0.540 0.248
0.752 0.960 0.748
0.000 0.000 0.500
0.000 0.500 0.000
0.500 0.000 0.000
0.500 0.500 0.500
0.186 0.204 0.973
0.186 0.296 0.473
0.252 0.718 0.965
0.252 0.782 0.465
0.315 0.520 0.254
0.315 0.980 0.754
0.685 0.020 0.246
0.685 0.480 0.746
0.748 0.218 0.535
0.748 0.282 0.035
0.814 0.704 0.527
0.814 0.796 0.027

10.
K2TlCuF6 (PBE, optimized geometry); volume = 153.6 Å³/cell; total DFT energy (no corrections) = -4.053 eV per atom
1.0
0.000 4.251 4.251
4.251 0.000 4.251
4.251 4.251 0.000
K Tl Cu F
2 1 1 6
Direct
0.250 0.250 0.250
0.750 0.750 0.750
0.000 0.000 0.000
0.500 0.500 0.500
0.264 0.264 0.736
0.264 0.736 0.264
0.264 0.736 0.736
0.736 0.264 0.264
0.736 0.264 0.736
0.736 0.736 0.264

11.
K2TlCuF6 (PBE, optimized geometry); volume = 150.0 Å³/cell; total DFT energy (no corrections) = -4.056 eV per atom
1.0
-2.952 2.952 4.305
2.952 -2.952 4.305
2.952 2.952 -4.305
K Tl Cu F
2 1 1 6
Direct
0.250 0.750 0.500
0.750 0.250 0.500
0.000 0.000 0.000
0.500 0.500 0.000
0.210 0.679 0.889
0.264 0.264 0.000
0.321 0.210 0.531
0.679 0.790 0.469
0.736 0.736 0.000
0.790 0.321 0.111

12.
K2TlCuF6 (PBE, optimized geometry); volume = 300.1 Å³/cell; total DFT energy (no corrections) = -4.058 eV per atom
1.0
5.966 0.000 0.000
0.000 5.957 0.000
-5.934 0.000 8.444
K Tl Cu F
4 2 2 12
Direct
0.246 0.031 0.249
0.246 0.469 0.749
0.754 0.531 0.251
0.754 0.969 0.751
0.500 0.000 0.000
0.500 0.500 0.500
0.000 0.000 0.500
0.000 0.500 0.000
0.159 0.221 0.968
0.159 0.279 0.468
0.244 0.693 0.967
0.244 0.807 0.467
0.299 0.011 0.735
0.299 0.489 0.235
0.701 0.511 0.765
0.701 0.989 0.265
0.756 0.193 0.533
0.756 0.307 0.033
0.841 0.721 0.532
0.841 0.779 0.032

13.
K2TlCuF6 (PBE, optimized geometry); volume = 153.6 Å³/cell; total DFT energy (no corrections) = -4.053 eV per atom
1.0
0.000 4.251 4.251
4.251 0.000 4.251
4.251 4.251 0.000
K Tl Cu F
2 1 1 6
Direct
0.250 0.250 0.250
0.750 0.750 0.750
0.000 0.000 0.000
0.500 0.500 0.500
0.264 0.264 0.736
0.264 0.736 0.264
0.264 0.736 0.736
0.736 0.264 0.264
0.736 0.264 0.736
0.736 0.736 0.264

14.
K2TlCuF6 (PBE, optimized geometry); volume = 149.2 Å³/cell; total DFT energy (no corrections) = -4.031 eV per atom
1.0
2.973 1.716 4.873
-2.973 1.716 4.873
0.000 -3.433 4.873
K Tl Cu F
2 1 1 6
Direct
0.250 0.250 0.250
0.750 0.750 0.750
0.000 0.000 0.000
0.500 0.500 0.500
0.263 0.265 0.735
0.265 0.735 0.263
0.265 0.737 0.735
0.735 0.263 0.265
0.735 0.265 0.737
0.737 0.735 0.265

15.
K2TlCuF6 (PBE, optimized geometry); volume = 151.0 Å³/cell; total DFT energy (no corrections) = -4.059 eV per atom
1.0
5.139 -2.978 0.000
5.139 2.978 0.000
-3.460 0.000 4.932
K Tl Cu F
2 1 1 6
Direct
0.248 0.248 0.239
0.752 0.752 0.761
0.000 0.000 0.500
0.500 0.500 0.000
0.224 0.698 0.195
0.265 0.265 0.694
0.302 0.776 0.805
0.698 0.224 0.195
0.735 0.735 0.306
0.776 0.302 0.805

16.
La2Cu2F (PBE, optimized geometry); volume = 107.2 Å³/cell; total DFT energy (no corrections) = -4.834 eV per atom
1.0
4.113 0.000 0.000
-2.056 3.562 0.000
0.000 0.000 7.315
La Cu F
2 2 1
Direct
0.000 0.000 0.240
0.000 0.000 0.760
0.333 0.667 0.500
0.667 0.333 0.500
0.667 0.333 0.000

17.
LiCuF3 (PBE, optimized geometry); volume = 57.8 Å³/cell; total DFT energy (no corrections) = -4.110 eV per atom
1.0
3.872 0.000 0.000
0.000 3.872 0.000
0.000 0.000 3.853
Li Cu F
1 1 3
Direct
0.000 0.000 0.000
0.500 0.500 0.500
0.000 0.500 0.500
0.500 0.000 0.500
0.500 0.500 0.000

18.
LiCuF5 (PBE, optimized geometry); volume = 140.2 Å³/cell; total DFT energy (no corrections) = -3.665 eV per atom
1.0
3.720 -2.821 0.000
3.720 2.821 0.000
-3.493 0.000 6.679
Li Cu F
2 2 10
Direct
0.065 0.935 0.750
0.935 0.065 0.250
0.500 0.500 0.000
0.500 0.500 0.500
0.125 0.731 0.495
0.149 0.338 0.867
0.269 0.875 0.005
0.338 0.149 0.367
0.466 0.534 0.250
0.534 0.466 0.750
0.662 0.851 0.633
0.731 0.125 0.995
0.851 0.662 0.133
0.875 0.269 0.505

19.
LiCuF3 (PBE, optimized geometry); volume = 109.0 Å³/cell; total DFT energy (no corrections) = -4.206 eV per atom
1.0
3.398 0.000 0.000
-1.699 2.943 0.000
0.000 0.000 10.902
Li Cu F
2 2 6
Direct
0.000 0.000 0.000
0.000 0.000 0.500
0.333 0.667 0.250
0.667 0.333 0.750
0.000 0.000 0.250
0.000 0.000 0.750
0.333 0.667 0.079
0.333 0.667 0.421
0.667 0.333 0.579
0.667 0.333 0.921

20.
Li2CuF6 (PBE, optimized geometry); volume = 169.1 Å³/cell; total DFT energy (no corrections) = -3.931 eV per atom
1.0
4.834 0.000 0.000
0.000 4.336 0.000
-4.780 0.000 8.066
Li Cu F
4 2 12
Direct
0.185 0.003 0.186
0.185 0.497 0.686
0.815 0.503 0.314
0.815 0.997 0.814
0.500 0.000 0.000
0.500 0.500 0.500
0.169 0.735 0.339
0.169 0.765 0.839
0.186 0.237 0.999
0.186 0.263 0.499
0.490 0.732 0.662
0.490 0.768 0.162
0.510 0.232 0.838
0.510 0.268 0.338
0.814 0.737 0.501
0.814 0.763 0.001
0.831 0.235 0.161
0.831 0.265 0.661